Record 1
Entry from Alexandria via LeMat-Bulk: a relaxed structure of PmPIrN (GGA-PBE).

The density of states at the Fermi level comes out at 0.176 states/eV per atom. As for the formation energy from raw total energies: -412 kJ/mol of formula units.

Lattice parameters (Å, degrees): 3.908 3.908 8.113 90.00 90.00 90.00
Element x y z (fractional)
P (0.000, 0.500, 0.335)
Ir (0.000, 0.000, 0.500)
P (0.500, 0.000, 0.665)
N (0.000, 0.500, 0.129)
Ir (0.500, 0.500, 0.500)
Pm (0.500, 0.000, 0.164)
N (0.500, 0.000, 0.871)
Pm (0.000, 0.500, 0.836)



Record 2
Entry from Alexandria via LeMat-Bulk: a relaxed structure of PIrRuN (GGA-PBE).

The value obtained for the relative energy among the computed polymorphs is 169.0 meV per atom. The density of states at the Fermi level comes out at 0.478 states/eV per atom. As for the formation energy from raw total energies: 42 kJ/mol of formula units.

Lattice parameters (Å, degrees): 3.430 3.256 5.087 90.00 97.91 90.00
Element x y z (fractional)
Ru (0.841, 0.000, 0.201)
Ir (0.426, 0.000, 0.672)
P (0.897, 0.500, 0.533)
N (0.312, 0.000, 0.041)



Record 3
Entry from Alexandria via LeMat-Bulk: a relaxed structure of PIrRuN (GGA-PBE).

The value obtained for the relative energy among the computed polymorphs is 0.0 meV per atom. The density of states at the Fermi level comes out at 0.302 states/eV per atom. As for the formation energy from raw total energies: -23 kJ/mol of formula units.

Lattice parameters (Å, degrees): 3.297 3.297 6.083 90.00 90.00 120.00
Element x y z (fractional)
Ru (0.000, 0.000, 0.863)
N (0.667, 0.333, 0.933)
P (0.000, 0.000, 0.484)
Ir (0.667, 0.333, 0.273)



Record 4
Entry from Alexandria via LeMat-Bulk: a relaxed structure of PIrRuN (GGA-PBE).

The value obtained for the relative energy among the computed polymorphs is 306.1 meV per atom. The density of states at the Fermi level comes out at 0.786 states/eV per atom. As for the formation energy from raw total energies: 95 kJ/mol of formula units.

Lattice parameters (Å, degrees): 3.249 2.801 5.696 90.00 90.00 90.00
Element x y z (fractional)
Ir (0.000, 0.500, 0.574)
N (0.500, 0.000, 0.034)
Ru (0.000, 0.500, 0.104)
P (0.500, 0.000, 0.736)



Record 5
Entry from Alexandria via LeMat-Bulk: a relaxed structure of PIrRuN (GGA-PBE).

The value obtained for the relative energy among the computed polymorphs is 206.6 meV per atom. The density of states at the Fermi level comes out at 1.101 states/eV per atom. As for the formation energy from raw total energies: 56 kJ/mol of formula units.

Lattice parameters (Å, degrees): 2.769 4.376 4.799 109.02 106.59 90.17
Element x y z (fractional)
Ir (0.286, 0.256, 0.746)
Ru (0.011, 0.754, 0.199)
N (0.460, 0.043, 0.093)
P (0.621, 0.400, 0.410)



Record 6
Entry from Alexandria via LeMat-Bulk: a relaxed structure of PIrRuN (GGA-PBE).

The value obtained for the relative energy among the computed polymorphs is 144.4 meV per atom. The density of states at the Fermi level comes out at 0.325 states/eV per atom. As for the formation energy from raw total energies: 32 kJ/mol of formula units.

Lattice parameters (Å, degrees): 2.865 2.865 20.735 90.00 90.00 120.00
Element x y z (fractional)
Ir (0.000, 0.000, 0.838)
P (0.667, 0.333, 0.923)
P (0.333, 0.667, 0.257)
N (0.000, 0.000, 0.738)
N (0.333, 0.667, 0.405)
Ru (0.000, 0.000, 0.348)
Ir (0.333, 0.667, 0.504)
Ir (0.667, 0.333, 0.171)
Ru (0.333, 0.667, 0.015)
Ru (0.667, 0.333, 0.681)
P (0.000, 0.000, 0.590)
N (0.667, 0.333, 0.071)



| no. | ρ (kg/m3) |
| --- | --- |
| 1 | 10244 |
| 2 | 9982 |
| 3 | 9812 |
| 4 | 10836 |
| 5 | 10723 |
| 6 | 11434 |